Run one
## LiScSi2 (PBE)

Data for LiScSi2 after structural relaxation.

Its total moment is 0.0000 μB/atom. The density of states at the Fermi level is 0.98 states/eV/f.u.

It has space group Pnma (No. 62), with a = 6.0934 Å, b = 3.9563 Å, c = 11.3937 Å, α = 90.00°, β = 90.00° and γ = 90.00°. Symmetry generates all atoms from Li at (0.2499, 0.2500, 0.0278), Sc at (0.2487, 0.2500, 0.3030), Si at (0.0555, 0.7500, 0.1478) and Si at (0.0580, 0.2500, 0.6475).


Run two
## LiScSi2 (PBE)

Data for LiScSi2 after structural relaxation.

Its total moment is 0.0000 μB/atom. The density of states at the Fermi level is 1.76 states/eV/f.u.

It has space group C2/m (No. 12), with a = 5.5990 Å, b = 7.9403 Å, c = 2.8674 Å, α = 90.00°, β = 90.18° and γ = 90.00°. Symmetry generates all atoms from Li at (0.0000, 0.0000, 0.0000), Sc at (0.0000, 0.5000, 0.0000) and Si at (0.2500, 0.2500, 0.5000).


Which of them is most stable, and which least? Most stable: run one; least stable: run two.


Run one
## LiScSi2 (PBE)

Data for LiScSi2 after structural relaxation.

Its total moment is 0.0000 μB/atom. The density of states at the Fermi level is 1.83 states/eV/f.u.

It has space group Pmm2 (No. 25), with a = 3.0097 Å, b = 4.6869 Å, c = 4.6871 Å, α = 90.00°, β = 90.00° and γ = 90.00°. Symmetry generates all atoms from Li at (0.0000, 0.0000, 0.0000), Sc at (0.0000, 0.5000, 0.4979), Si at (0.5000, 0.0000, 0.4998) and Si at (0.5000, 0.5000, 0.9978).


Run two
## LiScSi2 (PBE)

Data for LiScSi2 after structural relaxation.

Its total moment is 0.0000 μB/atom. The density of states at the Fermi level is 2.05 states/eV/f.u.

It has space group F-43m (No. 216), with a = 6.3976 Å, b = 6.3976 Å, c = 6.3976 Å, α = 90.00°, β = 90.00° and γ = 90.00°. Symmetry generates all atoms from Li at (0.0000, 0.0000, 0.0000), Sc at (0.2500, 0.2500, 0.2500), Si at (0.0000, 0.0000, 0.5000) and Si at (0.2500, 0.2500, 0.7500).


Run three
## LiScSi2 (PBE)

Data for LiScSi2 after structural relaxation.

Its total moment is 0.0000 μB/atom. The density of states at the Fermi level is 0.09 states/eV/f.u.

It has space group I-42d (No. 122), with a = 4.2505 Å, b = 4.2505 Å, c = 16.7525 Å, α = 90.00°, β = 90.00° and γ = 90.00°. Symmetry generates all atoms from Li at (0.0000, 0.0000, 0.0000), Sc at (0.0000, 0.0000, 0.5000) and Si at (0.1620, 0.2500, 0.1250).


Which of them is most stable, and which least? Most stable: run one; least stable: run two.


Run one
## LiScSi2 (PBE)

Data for LiScSi2 after structural relaxation.

Its total moment is 0.0000 μB/atom. The density of states at the Fermi level is 1.80 states/eV/f.u.

It has space group P4/mmm (No. 123), with a = 2.8263 Å, b = 2.8263 Å, c = 8.0699 Å, α = 90.00°, β = 90.00° and γ = 90.00°. Symmetry generates all atoms from Li at (0.0000, 0.0000, 0.0000), Sc at (0.0000, 0.0000, 0.5000) and Si at (0.5000, 0.5000, 0.2470).


Run two
## LiScSi2 (PBE)

Data for LiScSi2 after structural relaxation.

Its total moment is 0.0193 μB/atom. The density of states at the Fermi level is 2.08 states/eV/f.u.

It has space group Pmmm (No. 47), with a = 2.8454 Å, b = 3.9288 Å, c = 5.6381 Å, α = 90.00°, β = 90.00° and γ = 90.00°. Symmetry generates all atoms from Li at (0.0000, 0.0000, 0.0000), Sc at (0.0000, 0.0000, 0.5000) and Si at (0.5000, 0.5000, 0.2270).


Run three
## LiScSi2 (PBE)

Data for LiScSi2 after structural relaxation.

Its total moment is 0.0000 μB/atom. The density of states at the Fermi level is 1.94 states/eV/f.u.

It has space group Fm-3m (No. 225), with a = 6.4275 Å, b = 6.4275 Å, c = 6.4275 Å, α = 90.00°, β = 90.00° and γ = 90.00°. Symmetry generates all atoms from Li at (0.0000, 0.0000, 0.0000), Sc at (0.0000, 0.0000, 0.5000) and Si at (0.2500, 0.2500, 0.2500).


Which of them is most stable, and which least? Most stable: run two; least stable: run three.